Here is a relaxed Ho2ErTc crystal from the Alexandria database. Energies are from PBE.

abc: 3.8665 6.2276 9.1110
angles: 90.00 90.00 108.10
Positions (direct):
Tc 0.7609 0.5216 0.2500
Tc 0.2391 0.4784 0.7500
Ho 0.1436 0.2871 0.4345
Ho 0.8564 0.7129 0.5655
Ho 0.1436 0.2871 0.0655
Ho 0.8564 0.7129 0.9345
Er 0.5718 0.1439 0.7500
Er 0.4282 0.8561 0.2500

**ρ**: 9.48 g/cm3
**Total moment**: 0.00 Bohr magnetons per cell
**V**: 209 Å³/cell
**E_tot**: -6.141 eV per atom
**Offset from the most stable computed form**: 0.01 eV per formula unit
**Energy relative to the elements**: -0.120 eV/atom
**Space-group type**: Cmcm